[1]
HgPtS: relaxed, PBE.

Its excess energy over the best structure of this formula in the dataset is 84 kJ/mol of formula units. As for the space group: P3m1 (156).

Structure (CIF):
```
data_HgPtS
_chemical_formula_sum 'Hg1 Pt1 S1'
_space_group_name_H-M_alt 'P 1'
_space_group_IT_number 1
_cell_length_a 3.664
_cell_length_b 3.664
_cell_length_c 5.389
_cell_angle_alpha 90.00
_cell_angle_beta 90.00
_cell_angle_gamma 120.00
loop_
_space_group_symop_operation_xyz
'x,y,z'
loop_
_atom_site_label
_atom_site_type_symbol
_atom_site_fract_x
_atom_site_fract_y
_atom_site_fract_z
_atom_site_occupancy
Hg1 Hg 0.000 0.000 0.022 1
Pt1 Pt 0.667 0.333 0.393 1
S1 S 0.333 0.667 0.585 1
```

[2]
Hg3PtS: relaxed, PBE.

Its excess energy over the best structure of this formula in the dataset is 0 kJ/mol of formula units. As for the space group: Pm-3m (221).

Structure (CIF):
```
data_Hg3PtS
_chemical_formula_sum 'Hg3 Pt1 S1'
_space_group_name_H-M_alt 'P 1'
_space_group_IT_number 1
_cell_length_a 5.251
_cell_length_b 5.251
_cell_length_c 5.251
_cell_angle_alpha 90.00
_cell_angle_beta 90.00
_cell_angle_gamma 90.00
loop_
_space_group_symop_operation_xyz
'x,y,z'
loop_
_atom_site_label
_atom_site_type_symbol
_atom_site_fract_x
_atom_site_fract_y
_atom_site_fract_z
_atom_site_occupancy
Hg1 Hg 0.000 0.000 0.500 1
Hg2 Hg 0.500 0.000 0.000 1
Hg3 Hg 0.000 0.500 0.000 1
Pt1 Pt 0.000 0.000 0.000 1
S1 S 0.500 0.500 0.500 1
```

[3]
Hg3PtS: relaxed, PBE.

Its excess energy over the best structure of this formula in the dataset is 198 kJ/mol of formula units. As for the space group: Pm-3m (221).

Structure (CIF):
```
data_Hg3PtS
_chemical_formula_sum 'Hg3 Pt1 S1'
_space_group_name_H-M_alt 'P 1'
_space_group_IT_number 1
_cell_length_a 5.093
_cell_length_b 5.093
_cell_length_c 5.093
_cell_angle_alpha 90.00
_cell_angle_beta 90.00
_cell_angle_gamma 90.00
loop_
_space_group_symop_operation_xyz
'x,y,z'
loop_
_atom_site_label
_atom_site_type_symbol
_atom_site_fract_x
_atom_site_fract_y
_atom_site_fract_z
_atom_site_occupancy
Hg1 Hg 0.500 0.000 0.000 1
Hg2 Hg 0.000 0.000 0.500 1
Hg3 Hg 0.000 0.500 0.000 1
Pt1 Pt 0.500 0.500 0.500 1
S1 S 0.000 0.000 0.000 1
```

[4]
Hg2Pt2S: relaxed, PBE.

As for the space group: P4/mbm (127).

Structure (CIF):
```
data_Hg2Pt2S
_chemical_formula_sum 'Hg4 Pt4 S2'
_space_group_name_H-M_alt 'P 1'
_space_group_IT_number 1
_cell_length_a 6.813
_cell_length_b 6.813
_cell_length_c 4.097
_cell_angle_alpha 90.00
_cell_angle_beta 90.00
_cell_angle_gamma 90.00
loop_
_space_group_symop_operation_xyz
'x,y,z'
loop_
_atom_site_label
_atom_site_type_symbol
_atom_site_fract_x
_atom_site_fract_y
_atom_site_fract_z
_atom_site_occupancy
Hg1 Hg 0.656 0.844 0.500 1
Hg2 Hg 0.844 0.344 0.500 1
Hg3 Hg 0.156 0.656 0.500 1
Hg4 Hg 0.344 0.156 0.500 1
S1 S 0.500 0.500 0.000 1
S2 S 0.000 0.000 0.000 1
Pt1 Pt 0.848 0.652 0.000 1
Pt2 Pt 0.652 0.152 0.000 1
Pt3 Pt 0.348 0.848 0.000 1
Pt4 Pt 0.152 0.348 0.000 1
```

[5]
HgPtS: relaxed, PBE.

Its excess energy over the best structure of this formula in the dataset is 0 kJ/mol of formula units. As for the space group: C2/m (12).

Structure (CIF):
```
data_HgPtS
_chemical_formula_sum 'Hg2 Pt2 S2'
_space_group_name_H-M_alt 'P 1'
_space_group_IT_number 1
_cell_length_a 3.567
_cell_length_b 6.284
_cell_length_c 6.751
_cell_angle_alpha 111.17
_cell_angle_beta 105.32
_cell_angle_gamma 90.00
loop_
_space_group_symop_operation_xyz
'x,y,z'
loop_
_atom_site_label
_atom_site_type_symbol
_atom_site_fract_x
_atom_site_fract_y
_atom_site_fract_z
_atom_site_occupancy
Pt1 Pt 0.500 0.000 0.000 1
Pt2 Pt 0.000 0.500 0.000 1
S1 S 0.907 0.101 0.815 1
S2 S 0.093 0.899 0.185 1
Hg1 Hg 0.341 0.533 0.681 1
Hg2 Hg 0.659 0.467 0.319 1
```

[6]
HgPtS3: relaxed, PBE.

Its excess energy over the best structure of this formula in the dataset is 0 kJ/mol of formula units. As for the space group: Pm-3m (221).

Structure (CIF):
```
data_HgPtS3
_chemical_formula_sum 'Hg1 Pt1 S3'
_space_group_name_H-M_alt 'P 1'
_space_group_IT_number 1
_cell_length_a 4.759
_cell_length_b 4.759
_cell_length_c 4.759
_cell_angle_alpha 90.00
_cell_angle_beta 90.00
_cell_angle_gamma 90.00
loop_
_space_group_symop_operation_xyz
'x,y,z'
loop_
_atom_site_label
_atom_site_type_symbol
_atom_site_fract_x
_atom_site_fract_y
_atom_site_fract_z
_atom_site_occupancy
S1 S 0.000 0.000 0.500 1
S2 S 0.000 0.500 0.000 1
S3 S 0.500 0.000 0.000 1
Hg1 Hg 0.500 0.500 0.500 1
Pt1 Pt 0.000 0.000 0.000 1
```

| no. | formation energy from raw total energies (eV/f.u.) |
| --- | --- |
| 1 | 0.18 |
| 2 | 1.90 |
| 3 | 3.95 |
| 4 | 0.85 |
| 5 | -0.68 |
| 6 | 2.64 |